No. 1
A crystal of AsOsBr2 relaxed with PBEsol. Source: the Alexandria database, functional meta-GGA SCAN.

Cell and atoms, written as POSCAR:
```
AsOsBr2
1.0
1.449 0.837 11.583
-1.449 0.837 11.583
0.000 -1.673 11.583
As Os Br
1 1 2
Direct
0.000 0.000 0.000
0.500 0.500 0.500
0.432 0.432 0.432
0.568 0.568 0.568
```

Calculated values
Raw formation energy = 803 meV/atom
D(E_F) = 2.7 states/eV/f.u.
Crystal system = trigonal
Calculated total energy = -127.78 eV per cell
Polymorph energy (0 for the lowest one) = 314 meV/atom



No. 2
A crystal of TlTe2Au relaxed with PBEsol. Source: the Alexandria database, functional meta-GGA SCAN.

Cell and atoms, written as POSCAR:
```
TlTe2Au
1.0
3.254 0.000 0.000
0.000 4.056 0.000
0.000 0.000 8.292
Tl Te Au
1 2 1
Direct
0.000 0.000 0.000
0.500 0.500 0.278
0.500 0.500 0.722
0.500 0.000 0.500
```

Calculated values
Raw formation energy = -129 meV/atom
D(E_F) = 2.0 states/eV/f.u.
Crystal system = orthorhombic
Calculated total energy = -216.54 eV per cell